Density functional theory data (GGA+U) for a geometry-optimized Li4TiFe5O12 structure.

Output
Magnetization ... 0.909 μB per atom
E_tot ... -6.376 eV per atom

```
22
Lattice="2.611 -4.367 0.000 2.611 4.367 0.000 -1.352 0.000 10.146" Properties=species:S:1:pos:R:3 pbc="T T T"
Li 0.949 2.766 7.526
Li 2.921 2.766 2.620
Li 0.949 -2.766 7.526
Li 2.921 -2.766 2.620
Ti -0.676 0.000 5.073
Fe 2.611 2.906 0.000
Fe 1.935 1.443 5.073
Fe 2.611 0.000 0.000
Fe 1.935 -1.443 5.073
Fe 2.611 -2.906 0.000
O 1.213 2.878 3.976
O -0.545 0.000 9.091
O 1.770 1.505 1.111
O 1.035 0.000 4.067
O 2.658 2.878 6.170
O 2.100 1.505 9.035
O 1.770 -1.505 1.111
O 1.213 -2.878 3.976
O 2.836 0.000 6.079
O 2.100 -1.505 9.035
O 4.416 0.000 1.055
O 2.658 -2.878 6.170
```